Here is a relaxed FePIrO2 crystal from Alexandria. Energies are from GGA+U.

## Properties
As for the crystal system: tetragonal.

```
data_FePIrO2
_chemical_formula_sum 'Fe1 P1 Ir1 O2'
_cell_length_a 3.492
_cell_length_b 3.492
_cell_length_c 7.612
_cell_angle_alpha 90.00
_cell_angle_beta 90.00
_cell_angle_gamma 90.00
_symmetry_space_group_name_H-M 'P 4/m m m'
_symmetry_Int_Tables_number 123
_symmetry_space_group_name_Hall '-P 4 2'
loop_
_atom_site_label
_atom_site_type_symbol
_atom_site_fract_x
_atom_site_fract_y
_atom_site_fract_z
Fe1 Fe 0.000 0.000 0.000
P1 P 0.000 0.000 0.500
Ir1 Ir 0.500 0.500 0.500
O1 O 0.000 0.500 0.000
```

Here is a relaxed FePIrO2 crystal from Alexandria. Energies are from GGA+U.

## Properties
As for the crystal system: tetragonal.

```
data_FePIrO2
_chemical_formula_sum 'Fe1 P1 Ir1 O2'
_cell_length_a 3.735
_cell_length_b 3.735
_cell_length_c 5.450
_cell_angle_alpha 90.00
_cell_angle_beta 90.00
_cell_angle_gamma 90.00
_symmetry_space_group_name_H-M 'P 4/m m m'
_symmetry_Int_Tables_number 123
_symmetry_space_group_name_Hall '-P 4 2'
loop_
_atom_site_label
_atom_site_type_symbol
_atom_site_fract_x
_atom_site_fract_y
_atom_site_fract_z
Fe1 Fe 0.000 0.000 0.000
P1 P 0.500 0.500 0.000
Ir1 Ir 0.500 0.500 0.500
O1 O 0.000 0.500 0.500
```

Here is a relaxed PaFe2IrO8 crystal from Alexandria. Energies are from GGA+U.

## Properties
As for the crystal system: tetragonal.

```
data_PaFe2IrO8
_chemical_formula_sum 'Pa2 Fe4 Ir2 O16'
_cell_length_a 6.735
_cell_length_b 6.735
_cell_length_c 6.785
_cell_angle_alpha 90.00
_cell_angle_beta 90.00
_cell_angle_gamma 90.00
_symmetry_space_group_name_H-M 'I -4 m 2'
_symmetry_Int_Tables_number 119
_symmetry_space_group_name_Hall 'I -4 -2'
loop_
_atom_site_label
_atom_site_type_symbol
_atom_site_fract_x
_atom_site_fract_y
_atom_site_fract_z
Pa1 Pa 0.000 0.000 0.000
Fe1 Fe 0.000 0.000 0.500
Fe2 Fe 0.000 0.500 0.250
Ir1 Ir 0.000 0.500 0.750
O1 O 0.000 0.200 0.700
O2 O 0.000 0.317 0.044
```

Here is a relaxed Fe2IrPbO8 crystal from Alexandria. Energies are from GGA+U.

## Properties
As for the crystal system: orthorhombic.

```
data_Fe2IrPbO8
_chemical_formula_sum 'Fe4 Ir2 Pb2 O16'
_cell_length_a 6.594
_cell_length_b 6.659
_cell_length_c 6.472
_cell_angle_alpha 90.00
_cell_angle_beta 90.00
_cell_angle_gamma 90.00
_symmetry_space_group_name_H-M 'C m m m'
_symmetry_Int_Tables_number 65
_symmetry_space_group_name_Hall '-C 2 2'
loop_
_atom_site_label
_atom_site_type_symbol
_atom_site_fract_x
_atom_site_fract_y
_atom_site_fract_z
Fe1 Fe 0.000 0.000 0.248
Ir1 Ir 0.000 0.500 0.000
Pb1 Pb 0.000 0.500 0.500
O1 O 0.000 0.300 0.221
O2 O 0.178 0.000 0.500
O3 O 0.209 0.000 0.000
```

Here is a relaxed FeIr2PbO8 crystal from Alexandria. Energies are from GGA+U.

## Properties
As for the crystal system: trigonal.

```
data_FeIr2PbO8
_chemical_formula_sum 'Fe1 Ir2 Pb1 O8'
_cell_length_a 5.4633
_cell_length_b 5.4633
_cell_length_c 5.9959
_cell_angle_alpha 90.00
_cell_angle_beta 90.00
_cell_angle_gamma 120.00
_symmetry_space_group_name_H-M 'P -3'
_symmetry_Int_Tables_number 147
loop_
_symmetry_equiv_pos_as_xyz
'x,y,z'
'-x,-y,-z'
'-y,x-y,z'
'y,-x+y,-z'
'-x+y,-x,z'
'x-y,x,-z'
loop_
_atom_site_label
_atom_site_type_symbol
_atom_site_fract_x
_atom_site_fract_y
_atom_site_fract_z
Fe1 Fe 0.0000 0.0000 0.0000
Ir1 Ir 0.3333 0.6667 0.9462
Pb1 Pb 0.0000 0.0000 0.5000
O1 O 0.0617 0.3642 0.1431
O2 O 0.3333 0.6667 0.6397
```

Here is a relaxed FeIrPb2O8 crystal from Alexandria. Energies are from GGA+U.

## Properties
As for the crystal system: orthorhombic.

```
data_FeIrPb2O8
_chemical_formula_sum 'Fe2 Ir2 Pb4 O16'
_cell_length_a 6.796
_cell_length_b 6.874
_cell_length_c 6.633
_cell_angle_alpha 90.00
_cell_angle_beta 90.00
_cell_angle_gamma 90.00
_symmetry_space_group_name_H-M 'C m m m'
_symmetry_Int_Tables_number 65
_symmetry_space_group_name_Hall '-C 2 2'
loop_
_atom_site_label
_atom_site_type_symbol
_atom_site_fract_x
_atom_site_fract_y
_atom_site_fract_z
Fe1 Fe 0.000 0.000 0.000
Ir1 Ir 0.000 0.000 0.500
Pb1 Pb 0.000 0.500 0.246
O1 O 0.000 0.177 0.260
O2 O 0.210 0.500 0.000
O3 O 0.214 0.500 0.500
```

Here is a relaxed FeIrPdO6 crystal from Alexandria. Energies are from GGA+U.

## Properties
As for the crystal system: trigonal.

```
data_FeIrPdO6
_chemical_formula_sum 'Fe2 Ir2 Pd2 O12'
_cell_length_a 5.1035
_cell_length_b 5.1035
_cell_length_c 8.7095
_cell_angle_alpha 90.00
_cell_angle_beta 90.00
_cell_angle_gamma 120.00
_symmetry_space_group_name_H-M 'P -3 1 c'
_symmetry_Int_Tables_number 163
_symmetry_space_group_name_Hall '-P 3 2c'
loop_
_atom_site_label
_atom_site_type_symbol
_atom_site_fract_x
_atom_site_fract_y
_atom_site_fract_z
Fe1 Fe 0.3333 0.6667 0.2500
Ir1 Ir 0.3333 0.6667 0.7500
Pd1 Pd 0.0000 0.0000 0.0000
O1 O 0.0050 0.3528 0.6268
```

Here is a relaxed PmFeIrO6 crystal from Alexandria. Energies are from GGA+U.

## Properties
As for the crystal system: trigonal.

```
data_PmFeIrO6
_chemical_formula_sum 'Pm2 Fe2 Ir2 O12'
_cell_length_a 5.4386
_cell_length_b 5.4386
_cell_length_c 8.5738
_cell_angle_alpha 90.00
_cell_angle_beta 90.00
_cell_angle_gamma 120.00
_symmetry_space_group_name_H-M 'P -3 1 c'
_symmetry_Int_Tables_number 163
_symmetry_space_group_name_Hall '-P 3 2c'
loop_
_atom_site_label
_atom_site_type_symbol
_atom_site_fract_x
_atom_site_fract_y
_atom_site_fract_z
Pm1 Pm 0.3333 0.6667 0.2500
Fe1 Fe 0.0000 0.0000 0.0000
Ir1 Ir 0.3333 0.6667 0.7500
O1 O 0.0539 0.3557 0.6191
```

Here is a relaxed Pr2FeIrO6 crystal from Alexandria. Energies are from GGA+U.

## Properties
As for the crystal system: orthorhombic.

```
data_Pr2FeIrO6
_chemical_formula_sum 'Pr4 Fe2 Ir2 O12'
_cell_length_a 5.492
_cell_length_b 7.993
_cell_length_c 5.788
_cell_angle_alpha 90.00
_cell_angle_beta 90.00
_cell_angle_gamma 90.00
_symmetry_space_group_name_H-M 'P m m n'
_symmetry_Int_Tables_number 59
loop_
_symmetry_equiv_pos_as_xyz
'x,y,z'
'-x,-y,-z'
'-x+1/2,-y+1/2,z'
'x+1/2,y+1/2,-z'
'x+1/2,-y,-z'
'-x+1/2,y,z'
'-x,y+1/2,-z'
'x,-y+1/2,z'
loop_
_atom_site_label
_atom_site_type_symbol
_atom_site_fract_x
_atom_site_fract_y
_atom_site_fract_z
Pr1 Pr 0.250 0.023 0.223
Fe1 Fe 0.250 0.750 0.745
Ir1 Ir 0.250 0.250 0.743
O1 O 0.012 0.250 0.010
O2 O 0.017 0.250 0.471
O3 O 0.250 0.503 0.782
```

Here is a relaxed FeIrPtO6 crystal from Alexandria. Energies are from GGA+U.

## Properties
As for the crystal system: tetragonal.

```
data_FeIrPtO6
_chemical_formula_sum 'Fe2 Ir2 Pt2 O12'
_cell_length_a 4.507
_cell_length_b 4.507
_cell_length_c 9.355
_cell_angle_alpha 90.00
_cell_angle_beta 90.00
_cell_angle_gamma 90.00
_symmetry_space_group_name_H-M 'P 42 n m'
_symmetry_Int_Tables_number 102
loop_
_symmetry_equiv_pos_as_xyz
'x,y,z'
'-y+1/2,x+1/2,z+1/2'
'-x,-y,z'
'y+1/2,-x+1/2,z+1/2'
'-x+1/2,y+1/2,z+1/2'
'y,x,z'
'x+1/2,-y+1/2,z+1/2'
'-y,-x,z'
loop_
_atom_site_label
_atom_site_type_symbol
_atom_site_fract_x
_atom_site_fract_y
_atom_site_fract_z
Fe1 Fe 0.000 0.000 0.000
Ir1 Ir 0.000 0.000 0.668
Pt1 Pt 0.000 0.000 0.333
O1 O 0.188 0.188 0.836
O2 O 0.195 0.195 0.163
O3 O 0.198 0.198 0.502
```

Here is a relaxed PuFeIrO6 crystal from Alexandria. Energies are from GGA+U.

## Properties
As for the crystal system: trigonal.

```
data_PuFeIrO6
_chemical_formula_sum 'Pu2 Fe2 Ir2 O12'
_cell_length_a 5.1505
_cell_length_b 5.1505
_cell_length_c 8.8005
_cell_angle_alpha 90.00
_cell_angle_beta 90.00
_cell_angle_gamma 120.00
_symmetry_space_group_name_H-M 'P -3 1 c'
_symmetry_Int_Tables_number 163
_symmetry_space_group_name_Hall '-P 3 2c'
loop_
_atom_site_label
_atom_site_type_symbol
_atom_site_fract_x
_atom_site_fract_y
_atom_site_fract_z
Pu1 Pu 0.3333 0.6667 0.2500
Fe1 Fe 0.3333 0.6667 0.7500
Ir1 Ir 0.0000 0.0000 0.0000
O1 O 0.0183 0.3407 0.6254
```

Here is a relaxed FeIrRhO6 crystal from Alexandria. Energies are from GGA+U.

## Properties
As for the crystal system: trigonal.

```
data_FeIrRhO6
_chemical_formula_sum 'Fe2 Ir2 Rh2 O12'
_cell_length_a 5.0083
_cell_length_b 5.0083
_cell_length_c 8.5117
_cell_angle_alpha 90.00
_cell_angle_beta 90.00
_cell_angle_gamma 120.00
_symmetry_space_group_name_H-M 'P -3 1 c'
_symmetry_Int_Tables_number 163
_symmetry_space_group_name_Hall '-P 3 2c'
loop_
_atom_site_label
_atom_site_type_symbol
_atom_site_fract_x
_atom_site_fract_y
_atom_site_fract_z
Fe1 Fe 0.3333 0.6667 0.2500
Ir1 Ir 0.3333 0.6667 0.7500
Rh1 Rh 0.0000 0.0000 0.0000
O1 O 0.0051 0.3478 0.1261
```

Here is a relaxed FeSiIr2O crystal from Alexandria. Energies are from GGA+U.

## Properties
As for the crystal system: tetragonal.

```
data_FeSiIr2O
_chemical_formula_sum 'Fe1 Si1 Ir2 O1'
_cell_length_a 4.421
_cell_length_b 4.421
_cell_length_c 4.225
_cell_angle_alpha 90.00
_cell_angle_beta 90.00
_cell_angle_gamma 90.00
_symmetry_space_group_name_H-M 'P 4/m m m'
_symmetry_Int_Tables_number 123
_symmetry_space_group_name_Hall '-P 4 2'
loop_
_atom_site_label
_atom_site_type_symbol
_atom_site_fract_x
_atom_site_fract_y
_atom_site_fract_z
Fe1 Fe 0.000 0.000 0.000
Si1 Si 0.000 0.000 0.500
Ir1 Ir 0.000 0.500 0.000
O1 O 0.500 0.500 0.500
```

Here is a relaxed FeSnIrO6 crystal from Alexandria. Energies are from GGA+U.

## Properties
As for the crystal system: trigonal.

```
data_FeSnIrO6
_chemical_formula_sum 'Fe2 Sn2 Ir2 O12'
_cell_length_a 5.2322
_cell_length_b 5.2322
_cell_length_c 8.7027
_cell_angle_alpha 90.00
_cell_angle_beta 90.00
_cell_angle_gamma 120.00
_symmetry_space_group_name_H-M 'P -3 1 c'
_symmetry_Int_Tables_number 163
_symmetry_space_group_name_Hall '-P 3 2c'
loop_
_atom_site_label
_atom_site_type_symbol
_atom_site_fract_x
_atom_site_fract_y
_atom_site_fract_z
Fe1 Fe 0.0000 0.0000 0.0000
Sn1 Sn 0.3333 0.6667 0.2500
Ir1 Ir 0.3333 0.6667 0.7500
O1 O 0.0156 0.3464 0.6263
```

Here is a relaxed Sr2FeIrO crystal from Alexandria. Energies are from GGA+U.

## Properties
As for the crystal system: tetragonal.

```
data_Sr2FeIrO
_chemical_formula_sum 'Sr2 Fe1 Ir1 O1'
_cell_length_a 6.058
_cell_length_b 6.058
_cell_length_c 3.791
_cell_angle_alpha 90.00
_cell_angle_beta 90.00
_cell_angle_gamma 90.00
_symmetry_space_group_name_H-M 'P 4/m m m'
_symmetry_Int_Tables_number 123
_symmetry_space_group_name_Hall '-P 4 2'
loop_
_atom_site_label
_atom_site_type_symbol
_atom_site_fract_x
_atom_site_fract_y
_atom_site_fract_z
Sr1 Sr 0.000 0.500 0.000
Fe1 Fe 0.000 0.000 0.500
Ir1 Ir 0.500 0.500 0.000
O1 O 0.500 0.500 0.500
```

Here is a relaxed SrFeIrO5 crystal from Alexandria. Energies are from GGA+U.

## Properties
As for the crystal system: monoclinic.

```
data_SrFeIrO5
_chemical_formula_sum 'Sr4 Fe4 Ir4 O20'
_cell_length_a 6.903
_cell_length_b 9.431
_cell_length_c 7.369
_cell_angle_alpha 90.00
_cell_angle_beta 114.03
_cell_angle_gamma 90.00
_symmetry_space_group_name_H-M 'C 1 2/c 1'
_symmetry_Int_Tables_number 15
loop_
_symmetry_equiv_pos_as_xyz
'x,y,z'
'-x,-y,-z'
'-x,y,-z+1/2'
'x,-y,z+1/2'
'x+1/2,y+1/2,z'
'-x+1/2,-y+1/2,-z'
'-x+1/2,y+1/2,-z+1/2'
'x+1/2,-y+1/2,z+1/2'
loop_
_atom_site_label
_atom_site_type_symbol
_atom_site_fract_x
_atom_site_fract_y
_atom_site_fract_z
Sr1 Sr 0.000 0.167 0.250
Fe1 Fe 0.000 0.190 0.750
Ir1 Ir 0.000 0.500 0.000
O1 O 0.000 0.435 0.250
O2 O 0.099 0.303 0.595
O3 O 0.201 0.060 0.920
```

Here is a relaxed TaFeIrO2 crystal from Alexandria. Energies are from GGA+U.

## Properties
As for the crystal system: tetragonal.

```
data_TaFeIrO2
_chemical_formula_sum 'Ta1 Fe1 Ir1 O2'
_cell_length_a 3.717
_cell_length_b 3.717
_cell_length_c 5.345
_cell_angle_alpha 90.00
_cell_angle_beta 90.00
_cell_angle_gamma 90.00
_symmetry_space_group_name_H-M 'P 4/m m m'
_symmetry_Int_Tables_number 123
_symmetry_space_group_name_Hall '-P 4 2'
loop_
_atom_site_label
_atom_site_type_symbol
_atom_site_fract_x
_atom_site_fract_y
_atom_site_fract_z
Ta1 Ta 0.000 0.000 0.000
Fe1 Fe 0.500 0.500 0.000
Ir1 Ir 0.500 0.500 0.500
O1 O 0.000 0.500 0.500
```

Here is a relaxed FeTeIrO6 crystal from Alexandria. Energies are from GGA+U.

## Properties
As for the crystal system: trigonal.

```
data_FeTeIrO6
_chemical_formula_sum 'Fe2 Te2 Ir2 O12'
_cell_length_a 5.0570
_cell_length_b 5.0570
_cell_length_c 8.6933
_cell_angle_alpha 90.00
_cell_angle_beta 90.00
_cell_angle_gamma 120.00
_symmetry_space_group_name_H-M 'P -3 1 c'
_symmetry_Int_Tables_number 163
_symmetry_space_group_name_Hall '-P 3 2c'
loop_
_atom_site_label
_atom_site_type_symbol
_atom_site_fract_x
_atom_site_fract_y
_atom_site_fract_z
Fe1 Fe 0.3333 0.6667 0.2500
Te1 Te 0.3333 0.6667 0.7500
Ir1 Ir 0.0000 0.0000 0.0000
O1 O 0.0036 0.3492 0.1282
```

Here is a relaxed TiFeIrO6 crystal from Alexandria. Energies are from GGA+U.

## Properties
As for the crystal system: trigonal.

```
data_TiFeIrO6
_chemical_formula_sum 'Ti2 Fe2 Ir2 O12'
_cell_length_a 5.0044
_cell_length_b 5.0044
_cell_length_c 8.9539
_cell_angle_alpha 90.00
_cell_angle_beta 90.00
_cell_angle_gamma 120.00
_symmetry_space_group_name_H-M 'P -3 1 c'
_symmetry_Int_Tables_number 163
_symmetry_space_group_name_Hall '-P 3 2c'
loop_
_atom_site_label
_atom_site_type_symbol
_atom_site_fract_x
_atom_site_fract_y
_atom_site_fract_z
Ti1 Ti 0.3333 0.6667 0.2500
Fe1 Fe 0.0000 0.0000 0.0000
Ir1 Ir 0.3333 0.6667 0.7500
O1 O 0.0021 0.3392 0.1289
```

| no. | uncorrected energy (Ha/atom) |
| --- | --- |
| 1 | -0.2148 |
| 2 | -0.2158 |
| 3 | -0.2660 |
| 4 | -0.2314 |
| 5 | -0.2211 |
| 6 | -0.2208 |
| 7 | -0.2282 |
| 8 | -0.2539 |
| 9 | -0.2728 |
| 10 | -0.2305 |
| 11 | -0.2927 |
| 12 | -0.2358 |
| 13 | -0.1697 |
| 14 | -0.2373 |
| 15 | -0.1588 |
| 16 | -0.2447 |
| 17 | -0.2258 |
| 18 | -0.2210 |
| 19 | -0.2718 |